# MgSiSb2

An optimized crystal structure of MgSiSb2 (PBE, Alexandria via LeMat-Bulk).

Unit cell a=3.845 b=3.845 c=6.839 alpha=90.00 beta=90.00 gamma=90.00
Space group P4mm (No. 99)
Symmetry-distinct sites (fractional):
Mg1 0.000 0.000 0.000
Si1 0.500 0.500 0.738
Sb1 0.000 0.000 0.585
Sb2 0.500 0.500 0.142

## Properties
Formation energy from raw total energies in kJ/mol of atoms: 10.5
Total energy in eV per cell: -14.8
Volume in Å³ per atom: 25.28
Density of states at the Fermi level in states/eV per cell: 1.922